The following is a GGA-PBE calculation of Pm2AuSe after structural relaxation, from the Alexandria database.

```
Pm2AuSe
1.0
-3.657 -0.102 -0.422
-0.225 -2.610 2.588
-0.731 5.120 5.099
Au Se Pm
1 1 2
Direct
0.500 0.500 0.000
0.500 0.500 0.500
0.000 0.000 0.748
0.000 0.000 0.252
```

Values from the calculation:
Volume   24.6 Å³/atom
Uncorrected energy   -5.183 eV per atom
Crystal system   tetragonal
Magnetization   0.005 μB/f.u.
Calculated density   9.5 g cm⁻³

---

The following is a GGA-PBE calculation of Tl2Mo2Pt after structural relaxation, from the Alexandria database.

```
Tl2Mo2Pt
1.0
-7.595 -3.402 1.062
-6.206 -1.334 5.485
5.823 4.561 -3.960
Tl Mo Pt
2 2 1
Direct
0.598 0.598 0.000
0.402 0.402 0.000
0.250 0.750 0.500
0.750 0.250 0.500
0.000 0.000 0.000
```

Values from the calculation:
Volume   20.6 Å³/atom
Uncorrected energy   -5.803 eV per atom
Crystal system   tetragonal
Magnetization   0.000 μB/f.u.
Calculated density   12.8 g cm⁻³

---

The following is a GGA-PBE calculation of Na2HPd after structural relaxation, from the Alexandria database.

```
Na2HPd
1.0
3.396 0.000 -0.035
0.000 3.486 0.000
-1.750 -1.742 6.550
Na H Pd
2 1 1
Direct
0.143 0.896 0.273
0.857 0.622 0.727
0.500 0.759 0.000
0.500 0.259 0.000
```

Values from the calculation:
Volume   19.3 Å³/atom
Uncorrected energy   -2.957 eV per atom
Crystal system   monoclinic
Magnetization   0.000 μB/f.u.
Calculated density   3.3 g cm⁻³

---

The following is a GGA-PBE calculation of NaY2TePd after structural relaxation, from the Alexandria database.

```
NaY2TePd
1.0
5.357 0.000 0.000
0.000 5.325 0.000
0.000 0.000 5.357
Y Na Te Pd
2 1 1 1
Direct
0.000 0.000 0.500
0.500 0.000 0.000
0.000 0.500 0.000
0.500 0.500 0.500
0.000 0.000 0.000
```

Values from the calculation:
Volume   30.6 Å³/atom
Uncorrected energy   -4.890 eV per atom
Crystal system   tetragonal
Magnetization   0.000 μB/f.u.
Calculated density   4.7 g cm⁻³

---

The following is a GGA-PBE calculation of InBi4Ru2 after structural relaxation, from the Alexandria database.

```
InBi4Ru2
1.0
-0.850 3.114 -4.576
2.422 -3.953 -3.141
-5.377 -3.460 -4.783
Ru Bi In
2 4 1
Direct
0.587 0.587 0.826
0.413 0.413 0.174
0.772 0.772 0.457
0.228 0.228 0.543
0.000 0.500 0.000
0.500 0.000 0.000
0.000 0.000 0.000
```

Values from the calculation:
Volume   31.1 Å³/atom
Uncorrected energy   -4.411 eV per atom
Crystal system   tetragonal
Magnetization   0.000 μB/f.u.
Calculated density   8.8 g cm⁻³

---

The following is a GGA-PBE calculation of Tb9Pm2Tm after structural relaxation, from the Alexandria database.

```
Tb9Pm2Tm
1.0
-2.278 0.981 -2.460
1.550 -9.812 -5.348
-8.060 0.940 7.838
Tb Pm Tm
9 2 1
Direct
0.000 0.000 0.500
0.000 0.500 0.500
0.000 0.500 0.000
0.500 0.346 0.173
0.500 0.173 0.827
0.500 0.173 0.346
0.500 0.827 0.654
0.500 0.827 0.173
0.500 0.654 0.827
0.000 0.333 0.667
0.000 0.667 0.333
0.000 0.000 0.000
```

Values from the calculation:
Volume   32.1 Å³/atom
Uncorrected energy   -4.575 eV per atom
Crystal system   hexagonal
Magnetization   0.000 μB/f.u.
Calculated density   8.1 g cm⁻³